No. 1
{
  "formula": "LiCeDyS3",
  "functional": "GGA-PBE",
  "state": "relaxed",
  "mass_density_g_cm3": 5.2,
  "e_tot_ev_per_atom": -5.953,
  "e_form_raw_mev_per_atom": -1814,
  "volume_a3_per_fu": 129.7,
  "dos_ef_per_ev_atom": 1.214,
  "lattice_angstrom": [[-2.1383, -0.6403, -3.1601], [-2.8107, -6.8544, 3.2908], [-5.6055, 5.8104, 2.6156]],
  "species": ["Li", "Li", "Ce", "Ce", "Dy", "Dy", "S", "S", "S", "S", "S", "S"],
  "fractional_positions": [[0.2500, 0.0880, 0.5838], [0.7500, 0.9120, 0.4162], [0.2500, 0.1841, 0.2208], [0.7500, 0.8159, 0.7792], [0.2500, 0.6653, 0.1632], [0.7500, 0.3347, 0.8368], [0.7500, 0.9015, 0.1359], [0.2500, 0.0985, 0.8641], [0.2500, 0.7853, 0.5005], [0.7500, 0.2147, 0.4995], [0.7500, 0.4294, 0.1706], [0.2500, 0.5706, 0.8294]]
}

***

No. 2
{
  "formula": "LiCe2DyS6",
  "functional": "GGA-PBE",
  "state": "relaxed",
  "mass_density_g_cm3": 4.2,
  "e_tot_ev_per_atom": -6.028,
  "e_form_raw_mev_per_atom": -1713,
  "volume_a3_per_fu": 252.8,
  "lattice_angstrom": [[6.8997, 0.0000, 0.0003], [3.4498, 5.9760, 0.0001], [3.4497, 1.9921, 6.1321]],
  "species": ["Li", "Ce", "Ce", "Dy", "S", "S", "S", "S", "S", "S"],
  "fractional_positions": [[0.3145, 0.3145, 0.0567], [0.5146, 0.5146, 0.4562], [0.0156, 0.0156, 0.9532], [0.8154, 0.8154, 0.5539], [0.6200, 0.2176, 0.2488], [0.2176, 0.9135, 0.2488], [0.9135, 0.6200, 0.2489], [0.4194, 0.7163, 0.7496], [0.7163, 0.1148, 0.7496], [0.1147, 0.4194, 0.7496]]
}

***

No. 3
{
  "formula": "LiCe2DyS5",
  "functional": "GGA-PBE",
  "state": "relaxed",
  "mass_density_g_cm3": 5.2,
  "e_tot_ev_per_atom": -6.220,
  "e_form_raw_mev_per_atom": -1885,
  "volume_a3_per_fu": 194.2,
  "dos_ef_per_ev_atom": 1.371,
  "lattice_angstrom": [[3.9661, 0.0000, 0.0000], [-1.9830, 8.2194, 0.0000], [0.0000, 0.0000, 11.9175]],
  "species": ["Li", "Li", "Ce", "Ce", "Ce", "Ce", "Dy", "Dy", "S", "S", "S", "S", "S", "S", "S", "S", "S", "S"],
  "fractional_positions": [[0.5142, 0.0284, 0.9796], [0.4858, 0.9716, 0.4796], [0.8750, 0.7499, 0.7984], [0.1089, 0.2177, 0.6843], [0.1250, 0.2501, 0.2984], [0.8911, 0.7823, 0.1843], [0.8022, 0.6043, 0.5023], [0.1978, 0.3957, 0.0023], [0.3628, 0.7256, 0.9992], [0.6911, 0.3822, 0.8456], [0.4994, 0.9988, 0.7821], [0.2882, 0.5764, 0.6617], [0.9543, 0.9086, 0.5708], [0.6372, 0.2744, 0.4992], [0.3089, 0.6178, 0.3456], [0.5006, 0.0012, 0.2821], [0.7118, 0.4236, 0.1617], [0.0457, 0.0914, 0.0708]]
}

***

No. 4
{
  "formula": "LiCe3Dy2Se6",
  "functional": "GGA-PBE",
  "state": "relaxed",
  "mass_density_g_cm3": 6.8,
  "e_tot_ev_per_atom": -5.902,
  "e_form_raw_mev_per_atom": -1749,
  "volume_a3_per_fu": 298.3,
  "dos_ef_per_ev_atom": 1.633,
  "lattice_angstrom": [[7.1203, -0.0030, -0.0018], [-3.5610, 6.1658, -0.0018], [-1.1889, -2.0585, 6.7966]],
  "species": ["Li", "Ce", "Ce", "Ce", "Dy", "Dy", "Se", "Se", "Se", "Se", "Se", "Se"],
  "fractional_positions": [[0.0000, 0.0000, 0.0000], [0.1680, 0.8320, 0.5000], [0.8320, 0.1680, 0.5000], [0.5000, 0.5000, 0.5000], [0.3339, 0.6661, 0.0000], [0.6661, 0.3339, 0.0000], [0.9225, 0.5967, 0.7669], [0.7523, 0.7523, 0.2345], [0.0775, 0.4033, 0.2331], [0.5967, 0.9225, 0.7669], [0.2477, 0.2477, 0.7655], [0.4033, 0.0775, 0.2331]]
}

***

No. 5
{
  "formula": "LiCe3Dy4Se8",
  "functional": "GGA-PBE",
  "state": "relaxed",
  "mass_density_g_cm3": 7.2,
  "e_tot_ev_per_atom": -5.886,
  "e_form_raw_mev_per_atom": -1761,
  "volume_a3_per_fu": 396.0,
  "dos_ef_per_ev_atom": 1.353,
  "lattice_angstrom": [[-4.8725, -4.9290, -4.4342], [1.4775, -6.1921, 5.2595], [-2.8765, 7.1748, 2.8190]],
  "species": ["Li", "Ce", "Ce", "Ce", "Dy", "Dy", "Dy", "Dy", "Se", "Se", "Se", "Se", "Se", "Se", "Se", "Se"],
  "fractional_positions": [[0.0000, 0.5000, 0.0000], [0.5000, 0.5000, 0.0000], [0.5000, 0.5000, 0.5000], [0.0000, 0.5000, 0.5000], [0.5000, 0.0000, 0.0000], [0.5000, 0.0000, 0.5000], [0.0000, 0.0000, 0.0000], [0.0000, 0.0000, 0.5000], [0.2469, 0.7546, 0.0076], [0.2469, 0.7545, 0.4938], [0.2462, 0.2386, 0.4924], [0.7607, 0.7546, 0.0076], [0.2393, 0.2454, 0.9924], [0.7538, 0.7614, 0.5076], [0.7531, 0.2455, 0.5062], [0.7531, 0.2454, 0.9924]]
}

***

No. 6
{
  "formula": "LiCeDySe3",
  "functional": "GGA-PBE",
  "state": "relaxed",
  "mass_density_g_cm3": 6.2,
  "e_tot_ev_per_atom": -5.471,
  "e_form_raw_mev_per_atom": -1654,
  "volume_a3_per_fu": 147.4,
  "dos_ef_per_ev_atom": 1.266,
  "lattice_angstrom": [[-3.8774, 0.3519, -1.0494], [-1.5558, -7.6811, 3.1729], [-1.3810, 5.4106, 6.9168]],
  "species": ["Li", "Li", "Ce", "Ce", "Dy", "Dy", "Se", "Se", "Se", "Se", "Se", "Se"],
  "fractional_positions": [[0.2500, 0.0872, 0.5844], [0.7500, 0.9128, 0.4156], [0.2500, 0.1865, 0.2251], [0.7500, 0.8135, 0.7749], [0.2500, 0.6674, 0.1600], [0.7500, 0.3326, 0.8400], [0.7500, 0.9038, 0.1327], [0.2500, 0.0962, 0.8673], [0.2500, 0.7782, 0.4985], [0.7500, 0.2218, 0.5015], [0.7500, 0.4326, 0.1740], [0.2500, 0.5674, 0.8260]]
}

***

No. 7
{
  "formula": "Li4CeDy3Se8",
  "functional": "GGA-PBE",
  "state": "relaxed",
  "mass_density_g_cm3": 5.6,
  "e_tot_ev_per_atom": -5.123,
  "e_form_raw_mev_per_atom": -1668,
  "volume_a3_per_fu": 379.6,
  "dos_ef_per_ev_atom": 0.382,
  "lattice_angstrom": [[-1.0269, -8.1388, -0.3853], [5.9181, -1.0005, 5.3603], [-6.3950, 4.8709, 1.6758]],
  "species": ["Li", "Li", "Li", "Li", "Ce", "Dy", "Dy", "Dy", "Se", "Se", "Se", "Se", "Se", "Se", "Se", "Se"],
  "fractional_positions": [[0.5000, 0.0000, 0.0000], [0.5000, 0.0000, 0.5000], [0.0000, 0.0000, 0.0000], [0.0000, 0.0000, 0.5000], [0.0000, 0.5000, 0.0000], [0.5000, 0.5000, 0.0000], [0.5000, 0.5000, 0.5000], [0.0000, 0.5000, 0.5000], [0.2554, 0.7555, 0.0004], [0.2554, 0.7555, 0.5108], [0.2491, 0.2475, 0.4981], [0.7450, 0.7555, 0.0004], [0.2550, 0.2445, 0.9996], [0.7509, 0.7525, 0.5019], [0.7446, 0.2445, 0.4892], [0.7446, 0.2445, 0.9996]]
}

***

No. 8
{
  "formula": "Li2CeDySe4",
  "functional": "GGA-PBE",
  "state": "relaxed",
  "mass_density_g_cm3": 5.4,
  "e_tot_ev_per_atom": -5.179,
  "e_form_raw_mev_per_atom": -1642,
  "volume_a3_per_fu": 193.2,
  "dos_ef_per_ev_atom": 0.780,
  "lattice_angstrom": [[-1.1202, 2.5423, 3.0734], [-6.1088, 1.4907, -3.4597], [-0.8941, -5.4463, 4.1792]],
  "species": ["Li", "Li", "Ce", "Dy", "Se", "Se", "Se", "Se"],
  "fractional_positions": [[0.5000, 0.0000, 0.5000], [0.0000, 0.5000, 0.5000], [0.5000, 0.5000, 0.0000], [0.0000, 0.0000, 0.0000], [0.5000, 0.2446, 0.2546], [0.5000, 0.7554, 0.7454], [0.0000, 0.2402, 0.7420], [0.0000, 0.7598, 0.2580]]
}

***

No. 9
{
  "formula": "LiCe2DySe5",
  "functional": "GGA-PBE",
  "state": "relaxed",
  "mass_density_g_cm3": 6.3,
  "e_tot_ev_per_atom": -5.693,
  "e_form_raw_mev_per_atom": -1714,
  "volume_a3_per_fu": 222.5,
  "dos_ef_per_ev_atom": 1.454,
  "lattice_angstrom": [[4.1362, 0.0000, 0.0000], [-2.0681, 8.6306, 0.0000], [0.0000, 0.0000, 12.4670]],
  "species": ["Li", "Li", "Ce", "Ce", "Ce", "Ce", "Dy", "Dy", "Se", "Se", "Se", "Se", "Se", "Se", "Se", "Se", "Se", "Se"],
  "fractional_positions": [[0.5149, 0.0298, 0.9790], [0.4851, 0.9702, 0.4790], [0.8744, 0.7488, 0.7984], [0.1083, 0.2166, 0.6842], [0.1256, 0.2512, 0.2984], [0.8917, 0.7834, 0.1842], [0.8026, 0.6052, 0.5030], [0.1974, 0.3948, 0.0030], [0.3623, 0.7247, 0.9984], [0.6910, 0.3820, 0.8449], [0.4993, 0.9985, 0.7819], [0.2869, 0.5739, 0.6625], [0.9537, 0.9074, 0.5716], [0.6377, 0.2753, 0.4984], [0.3090, 0.6180, 0.3449], [0.5007, 0.0015, 0.2819], [0.7131, 0.4261, 0.1625], [0.0463, 0.0926, 0.0716]]
}

***

No. 10
{
  "formula": "Li2CeDy2Sn2",
  "functional": "GGA-PBE",
  "state": "relaxed",
  "mass_density_g_cm3": 6.6,
  "e_tot_ev_per_atom": -4.262,
  "formation_enthalpy_0k_mev_per_atom": -409,
  "volume_a3_per_fu": 180.3,
  "dos_ef_per_ev_atom": 1.470,
  "lattice_angstrom": [[4.8353, 0.0000, 0.0000], [2.4176, 4.1875, 0.0000], [2.4176, 1.3958, 8.9027]],
  "species": ["Li", "Li", "Ce", "Dy", "Dy", "Sn", "Sn"],
  "fractional_positions": [[0.5899, 0.5899, 0.2302], [0.4101, 0.4101, 0.7698], [0.0000, 0.0000, 0.0000], [0.1298, 0.1298, 0.6107], [0.8702, 0.8702, 0.3893], [0.7397, 0.7397, 0.7810], [0.2603, 0.2603, 0.2190]]
}

***

No. 11
{
  "formula": "Li2Ce2DySn2",
  "functional": "GGA-PBE",
  "state": "relaxed",
  "mass_density_g_cm3": 6.9,
  "e_tot_ev_per_atom": -4.464,
  "formation_enthalpy_0k_mev_per_atom": -421,
  "volume_a3_per_fu": 167.4,
  "dos_ef_per_ev_atom": 1.594,
  "lattice_angstrom": [[4.6236, 0.0000, 0.0000], [2.3118, 4.0042, 0.0000], [2.3118, 1.3347, 9.0396]],
  "species": ["Li", "Li", "Ce", "Ce", "Dy", "Sn", "Sn"],
  "fractional_positions": [[0.5920, 0.5920, 0.2241], [0.4080, 0.4080, 0.7759], [0.1428, 0.1428, 0.5717], [0.8572, 0.8572, 0.4283], [0.0000, 0.0000, 0.0000], [0.7331, 0.7331, 0.8007], [0.2669, 0.2669, 0.1993]]
}

***

No. 12
{
  "formula": "LiCeDyTc",
  "functional": "GGA-PBE",
  "state": "relaxed",
  "mass_density_g_cm3": 7.9,
  "e_tot_ev_per_atom": -5.713,
  "formation_enthalpy_0k_mev_per_atom": -9,
  "volume_a3_per_fu": 85.4,
  "dos_ef_per_ev_atom": 1.114,
  "lattice_angstrom": [[4.9422, 0.0000, 0.0000], [2.4711, 4.2801, 0.0000], [2.4711, 1.4267, 4.0353]],
  "species": ["Li", "Tc", "Ce", "Dy"],
  "fractional_positions": [[0.0000, 0.0000, 0.0000], [0.5000, 0.5000, 0.5000], [0.2500, 0.2500, 0.2500], [0.7500, 0.7500, 0.7500]]
}

***

No. 13
{
  "formula": "LiCe2DyTe5",
  "functional": "GGA-PBE",
  "state": "relaxed",
  "mass_density_g_cm3": 6.6,
  "e_tot_ev_per_atom": -5.068,
  "e_form_raw_mev_per_atom": -1280,
  "volume_a3_per_fu": 273.9,
  "dos_ef_per_ev_atom": 1.577,
  "lattice_angstrom": [[-3.5805, -0.5921, -2.5218], [1.1682, -8.5785, 4.2280], [-7.6966, 3.8878, 10.0149]],
  "species": ["Li", "Li", "Ce", "Ce", "Ce", "Ce", "Dy", "Dy", "Te", "Te", "Te", "Te", "Te", "Te", "Te", "Te", "Te", "Te"],
  "fractional_positions": [[0.5586, 0.1171, 0.9608], [0.4414, 0.8829, 0.4608], [0.8744, 0.7487, 0.8036], [0.1071, 0.2141, 0.6846], [0.1256, 0.2513, 0.3036], [0.8929, 0.7859, 0.1846], [0.8017, 0.6034, 0.5098], [0.1983, 0.3966, 0.0098], [0.3621, 0.7243, 0.9994], [0.6892, 0.3783, 0.8468], [0.4979, 0.9959, 0.7795], [0.2848, 0.5697, 0.6696], [0.9534, 0.9068, 0.5699], [0.6379, 0.2757, 0.4994], [0.3108, 0.6217, 0.3468], [0.5021, 0.0041, 0.2795], [0.7152, 0.4303, 0.1696], [0.0466, 0.0932, 0.0699]]
}

***

No. 14
{
  "formula": "LiCe2DyTe4",
  "functional": "GGA-PBE",
  "state": "relaxed",
  "mass_density_g_cm3": 6.6,
  "e_tot_ev_per_atom": -5.173,
  "e_form_raw_mev_per_atom": -1305,
  "volume_a3_per_fu": 243.2,
  "dos_ef_per_ev_atom": 1.899,
  "lattice_angstrom": [[4.4021, 0.0000, 0.0000], [0.0000, 7.6725, -0.1672], [0.0000, 2.6840, 7.1415]],
  "species": ["Li", "Ce", "Ce", "Dy", "Te", "Te", "Te", "Te"],
  "fractional_positions": [[0.5000, 0.5000, 0.0000], [0.0000, 0.0000, 0.0000], [0.5000, 0.0000, 0.5000], [0.0000, 0.5000, 0.5000], [0.0000, 0.7322, 0.7600], [0.0000, 0.2678, 0.2400], [0.5000, 0.7348, 0.2493], [0.5000, 0.2652, 0.7507]]
}

***

No. 15
{
  "formula": "LiCe4Dy3Te8",
  "functional": "GGA-PBE",
  "state": "relaxed",
  "mass_density_g_cm3": 7.1,
  "e_tot_ev_per_atom": -5.362,
  "e_form_raw_mev_per_atom": -1325,
  "volume_a3_per_fu": 487.6,
  "dos_ef_per_ev_atom": 1.878,
  "lattice_angstrom": [[-2.1007, 8.0168, 2.8940], [-3.5530, -3.5755, 7.3254], [8.3091, -1.8576, -2.1359]],
  "species": ["Li", "Ce", "Ce", "Ce", "Ce", "Dy", "Dy", "Dy", "Te", "Te", "Te", "Te", "Te", "Te", "Te", "Te"],
  "fractional_positions": [[0.0000, 0.5000, 0.0000], [0.5000, 0.0000, 0.0000], [0.5000, 0.0000, 0.5000], [0.0000, 0.0000, 0.0000], [0.0000, 0.0000, 0.5000], [0.5000, 0.5000, 0.0000], [0.5000, 0.5000, 0.5000], [0.0000, 0.5000, 0.5000], [0.2414, 0.7336, 0.9922], [0.2414, 0.7336, 0.4827], [0.2536, 0.2610, 0.5073], [0.7508, 0.7336, 0.9922], [0.2492, 0.2664, 0.0078], [0.7464, 0.7390, 0.4927], [0.7586, 0.2664, 0.5173], [0.7586, 0.2664, 0.0078]]
}

***

No. 16
{
  "formula": "LiCeDyTe3",
  "functional": "GGA-PBE",
  "state": "relaxed",
  "mass_density_g_cm3": 6.4,
  "e_tot_ev_per_atom": -4.908,
  "e_form_raw_mev_per_atom": -1262,
  "volume_a3_per_fu": 179.8,
  "dos_ef_per_ev_atom": 1.409,
  "lattice_angstrom": [[4.3026, 0.0000, 0.0000], [0.0000, 8.9731, 0.5595], [0.0000, -2.8829, 9.1350]],
  "species": ["Li", "Li", "Ce", "Ce", "Dy", "Dy", "Te", "Te", "Te", "Te", "Te", "Te"],
  "fractional_positions": [[0.2500, 0.0860, 0.5856], [0.7500, 0.9140, 0.4144], [0.7500, 0.8122, 0.7685], [0.2500, 0.1878, 0.2315], [0.2500, 0.6698, 0.1579], [0.7500, 0.3302, 0.8421], [0.2500, 0.7674, 0.4962], [0.7500, 0.9070, 0.1278], [0.7500, 0.4332, 0.1749], [0.7500, 0.2326, 0.5038], [0.2500, 0.5668, 0.8251], [0.2500, 0.0930, 0.8722]]
}

***

No. 17
{
  "formula": "Li2CeDyTe4",
  "functional": "GGA-PBE",
  "state": "relaxed",
  "mass_density_g_cm3": 5.8,
  "e_tot_ev_per_atom": -4.621,
  "e_form_raw_mev_per_atom": -1255,
  "volume_a3_per_fu": 238.0,
  "dos_ef_per_ev_atom": 0.845,
  "lattice_angstrom": [[-0.4706, -1.9881, 3.9081], [-6.5321, -3.1598, -2.3940], [5.7589, -4.5349, -1.6136]],
  "species": ["Li", "Li", "Ce", "Dy", "Te", "Te", "Te", "Te"],
  "fractional_positions": [[0.5000, 0.0000, 0.5000], [0.0000, 0.5000, 0.5000], [0.0000, 0.0000, 0.0000], [0.5000, 0.5000, 0.0000], [0.5000, 0.2609, 0.2608], [0.5000, 0.7392, 0.7392], [0.0000, 0.2547, 0.7432], [0.0000, 0.7453, 0.2568]]
}

***

No. 18
{
  "formula": "Li2CeDyTl4",
  "functional": "GGA-PBE",
  "state": "relaxed",
  "mass_density_g_cm3": 9.3,
  "e_tot_ev_per_atom": -3.264,
  "formation_enthalpy_0k_mev_per_atom": -285,
  "volume_a3_per_fu": 203.3,
  "dos_ef_per_ev_atom": 0.874,
  "lattice_angstrom": [[-0.5574, -5.2006, -0.1401], [3.6070, -3.0783, 2.2115], [-3.2987, -2.4966, 8.0951]],
  "species": ["Li", "Li", "Ce", "Dy", "Tl", "Tl", "Tl", "Tl"],
  "fractional_positions": [[0.7512, 0.7512, 0.7464], [0.2488, 0.2488, 0.2536], [0.0000, 0.0000, 0.0000], [0.5000, 0.5000, 0.5000], [0.3769, 0.3769, 0.8693], [0.8735, 0.8735, 0.3796], [0.1265, 0.1265, 0.6204], [0.6231, 0.6231, 0.1307]]
}

***

No. 19
{
  "formula": "LiCe2DyTl4",
  "functional": "GGA-PBE",
  "state": "relaxed",
  "mass_density_g_cm3": 9.6,
  "e_tot_ev_per_atom": -3.749,
  "formation_enthalpy_0k_mev_per_atom": -268,
  "volume_a3_per_fu": 220.1,
  "dos_ef_per_ev_atom": 1.967,
  "lattice_angstrom": [[-2.2200, 4.2791, -2.2651], [-2.9421, -0.5440, -4.4067], [-9.0463, 0.1077, 2.8073]],
  "species": ["Li", "Ce", "Ce", "Dy", "Tl", "Tl", "Tl", "Tl"],
  "fractional_positions": [[0.5000, 0.5000, 0.5000], [0.7544, 0.7544, 0.7368], [0.2456, 0.2456, 0.2632], [0.0000, 0.0000, 0.0000], [0.3765, 0.3765, 0.8704], [0.8735, 0.8735, 0.3796], [0.1265, 0.1265, 0.6204], [0.6235, 0.6235, 0.1296]]
}

***

No. 20
{
  "formula": "Li2Ce2DyTl2",
  "functional": "GGA-PBE",
  "state": "relaxed",
  "mass_density_g_cm3": 8.5,
  "e_tot_ev_per_atom": -3.749,
  "formation_enthalpy_0k_mev_per_atom": -173,
  "volume_a3_per_fu": 168.7,
  "dos_ef_per_ev_atom": 1.355,
  "lattice_angstrom": [[-2.9952, 2.5409, -2.4797], [-0.3296, -0.6233, -4.5912], [-7.4912, -5.6098, -1.0504]],
  "species": ["Li", "Li", "Ce", "Ce", "Dy", "Tl", "Tl"],
  "fractional_positions": [[0.5903, 0.5903, 0.2291], [0.4097, 0.4097, 0.7709], [0.1436, 0.1436, 0.5691], [0.8564, 0.8564, 0.4309], [0.0000, 0.0000, 0.0000], [0.7335, 0.7335, 0.7995], [0.2665, 0.2665, 0.2005]]
}

***

Calculated total moment in order - 1.263, 0.000, 1.912, 3.466, 3.370, 1.400, 0.962, 0.996, 1.947, 1.488, 2.386, 0.259, 0.005, 2.519, 5.403, 1.436, 0.993, 1.039, 1.914, 1.328 μB/f.u.